The following is a PBE+U calculation of a relaxed MnPd3F9 crystal, from the Alexandria database.

## Properties
- Total energy: -4.296 eV/atom

```
data_MnPd3F9
_chemical_formula_sum 'Mn4 Pd12 F36'
_symmetry_space_group_name_H-M 'C 1 c 1'
_symmetry_Int_Tables_number 9
_cell_length_a 15.312
_cell_length_b 6.649
_cell_length_c 11.149
_cell_angle_alpha 90.00
_cell_angle_beta 131.06
_cell_angle_gamma 90.00
loop_
_symmetry_equiv_pos_as_xyz
'x,y,z'
'x,-y,z+1/2'
'x+1/2,y+1/2,z'
'x+1/2,-y+1/2,z+1/2'
loop_
_atom_site_label
_atom_site_fract_x
_atom_site_fract_y
_atom_site_fract_z
Mn1 0.000 0.244 0.000
Pd1 0.096 0.047 0.773
Pd2 0.248 0.491 0.752
Pd3 0.412 0.033 0.731
F1 0.006 0.296 0.180
F2 0.076 0.491 0.018
F3 0.142 0.113 0.152
F4 0.158 0.344 0.806
F5 0.259 0.009 0.998
F6 0.327 0.290 0.709
F7 0.358 0.130 0.342
F8 0.423 0.500 0.481
F9 0.492 0.315 0.320
```

***

The following is a PBE+U calculation of a relaxed MnPd2F crystal, from the Alexandria database.

## Properties
- DOS at the Fermi energy: 1.96 states/eV/f.u.
- Total energy: -5.222 eV/atom

```
data_MnPd2F
_chemical_formula_sum 'Mn4 Pd8 F4'
_symmetry_space_group_name_H-M 'F m -3 m'
_symmetry_Int_Tables_number 225
_symmetry_space_group_name_Hall '-F 4 2 3'
_cell_length_a 6.192
_cell_length_b 6.192
_cell_length_c 6.192
_cell_angle_alpha 90.00
_cell_angle_beta 90.00
_cell_angle_gamma 90.00
loop_
_atom_site_label
_atom_site_fract_x
_atom_site_fract_y
_atom_site_fract_z
Mn1 0.000 0.000 0.000
Pd1 0.250 0.250 0.250
F1 0.000 0.000 0.500
```

***

The following is a PBE+U calculation of a relaxed Mn2PdF8 crystal, from the Alexandria database.

## Properties
- Total energy: -5.215 eV/atom

```
data_Mn2PdF8
_chemical_formula_sum 'Mn4 Pd2 F16'
_symmetry_space_group_name_H-M 'C 1 2/m 1'
_symmetry_Int_Tables_number 12
_cell_length_a 9.579
_cell_length_b 6.983
_cell_length_c 4.364
_cell_angle_alpha 90.00
_cell_angle_beta 92.84
_cell_angle_gamma 90.00
loop_
_symmetry_equiv_pos_as_xyz
'x,y,z'
'-x,-y,-z'
'-x,y,-z'
'x,-y,z'
'x+1/2,y+1/2,z'
'-x+1/2,-y+1/2,-z'
'-x+1/2,y+1/2,-z'
'x+1/2,-y+1/2,z'
loop_
_atom_site_label
_atom_site_fract_x
_atom_site_fract_y
_atom_site_fract_z
Mn1 0.127 0.000 0.260
Pd1 0.000 0.500 0.000
F1 0.094 0.000 0.749
F2 0.106 0.296 0.228
F3 0.161 0.500 0.735
```

***

The following is a PBE+U calculation of a relaxed Mn3PdF crystal, from the Alexandria database.

## Properties
- DOS at the Fermi energy: 1.74 states/eV/f.u.
- Total energy: -5.745 eV/atom

```
data_Mn3PdF
_chemical_formula_sum 'Mn3 Pd1 F1'
_symmetry_space_group_name_H-M 'P m -3 m'
_symmetry_Int_Tables_number 221
_symmetry_space_group_name_Hall '-P 4 2 3'
_cell_length_a 5.032
_cell_length_b 5.032
_cell_length_c 5.032
_cell_angle_alpha 90.00
_cell_angle_beta 90.00
_cell_angle_gamma 90.00
loop_
_atom_site_label
_atom_site_fract_x
_atom_site_fract_y
_atom_site_fract_z
Mn1 0.000 0.000 0.500
Pd1 0.000 0.000 0.000
F1 0.500 0.500 0.500
```

***

Q: total energy of number 4 (Mn3PdF)?
A: -5.745 eV/atom

***

Q: Among the records above, which one has the highest total energy?
A: MnPd3F9

***

Q: total energy of number 4 (Mn3PdF)?
A: -5.745 eV/atom